1.
K2BaBe after structural relaxation, computed with GGA-PBE.

Computed properties:
As for the formation energy from the elements: 0.510 eV per atom.

Cell lengths 6.146, 6.146, 8.856 Å; angles 70.86, 70.86, 41.64 degrees
Fractional coordinates of all 4 atoms:
K (0.917, 0.917, 0.047)
K (0.742, 0.742, 0.700)
Ba (0.566, 0.566, 0.376)
Be (0.274, 0.274, 0.377)

2.
La2GaRhAu after structural relaxation, computed with GGA-PBE.

Computed properties:
As for the formation energy from the elements: -0.765 eV per atom.

Cell lengths 4.332, 7.692, 7.812 Å; angles 110.02, 90.00, 90.00 degrees
Fractional coordinates of all 10 atoms:
Ga (0.250, 0.548, 0.665)
Ga (0.750, 0.452, 0.335)
Au (0.250, 0.677, 0.332)
Au (0.750, 0.323, 0.668)
La (0.750, 0.718, 0.042)
La (0.750, 0.869, 0.640)
La (0.250, 0.131, 0.360)
La (0.250, 0.282, 0.958)
Rh (0.250, 0.874, 0.894)
Rh (0.750, 0.126, 0.106)

Please write out number 2 again, unchanged.
La2GaRhAu after structural relaxation, computed with GGA-PBE.

Computed properties:
As for the formation energy from the elements: -0.765 eV per atom.

Cell lengths 4.332, 7.692, 7.812 Å; angles 110.02, 90.00, 90.00 degrees
Fractional coordinates of all 10 atoms:
Ga (0.250, 0.548, 0.665)
Ga (0.750, 0.452, 0.335)
Au (0.250, 0.677, 0.332)
Au (0.750, 0.323, 0.668)
La (0.750, 0.718, 0.042)
La (0.750, 0.869, 0.640)
La (0.250, 0.131, 0.360)
La (0.250, 0.282, 0.958)
Rh (0.250, 0.874, 0.894)
Rh (0.750, 0.126, 0.106)